Entry from Alexandria via LeMat-Bulk: a relaxed structure of Sn2GeH (PBE).

Results
E_tot in eV/atom: -3.588
Total moment in μB/cell: 0.00
Calculated volume in Å³/f.u.: 80.3

Cell: 4.8428 4.8428 4.8428 Å, 60.00 60.00 60.00°
Closest atoms and distances in Å follow each position.
Element x y z (fractional)
Sn1 0.2500 0.2500 0.2500  4 H 2.97, 4 Ge 2.97
Sn2 0.7500 0.7500 0.7500  4 H 2.97, 4 Ge 2.97
Ge1 0.0000 0.0000 0.0000  8 Sn 2.97
H1 0.5000 0.5000 0.5000  8 Sn 2.97

***

Entry from Alexandria via LeMat-Bulk: a relaxed structure of Sn2GeH2 (PBE).

Results
E_tot in eV/atom: -3.483
Total moment in μB/cell: 0.00
Calculated volume in Å³/f.u.: 82.4

Cell: 6.9514 6.9514 6.9514 Å, 150.27 150.27 42.54°
Closest atoms and distances in Å follow each position.
Element x y z (fractional)
Sn1 0.1395 0.1395 0.0000  4 H 2.29
Sn2 0.8605 0.8605 0.0000  4 H 2.29
Ge1 0.5000 0.5000 0.0000  8 Sn 3.10
H1 0.2500 0.7500 0.5000  4 Sn 2.29, 4 H 2.52
H2 0.7500 0.2500 0.5000  4 Sn 2.29, 4 H 2.52

***

Entry from Alexandria via LeMat-Bulk: a relaxed structure of Sn3GeH (PBE).

Results
E_tot in eV/atom: -3.672
Total moment in μB/cell: 0.00
Calculated volume in Å³/f.u.: 107.4

Cell: 4.7530 4.7530 4.7530 Å, 90.00 90.00 90.00°
Closest atoms and distances in Å follow each position.
Element x y z (fractional)
Sn1 0.0000 0.0000 0.5000  2 H 2.38
Sn2 0.0000 0.5000 0.0000  2 H 2.38
Sn3 0.5000 0.0000 0.0000  2 H 2.38
Ge1 0.5000 0.5000 0.5000  12 Sn 3.36
H1 0.0000 0.0000 0.0000  6 Sn 2.38

***

Entry from Alexandria via LeMat-Bulk: a relaxed structure of Sn2GeH (PBE).

Results
E_tot in eV/atom: -3.632
Total moment in μB/cell: 0.00
Calculated volume in Å³/f.u.: 92.0

Cell: 7.6511 7.6511 7.6511 Å, 139.92 139.92 57.97°
Closest atoms and distances in Å follow each position.
Element x y z (fractional)
Sn1 0.0361 0.6250 0.9111  2 H 2.29
Sn2 0.3750 0.2861 0.4111  2 H 2.29
Sn3 0.7139 0.1250 0.0889  2 H 2.29
Sn4 0.8750 0.9639 0.5889  2 H 2.29
Ge1 0.2500 0.7500 0.5000  4 Sn 2.77
Ge2 0.5000 0.5000 0.0000  4 Sn 2.77
H1 0.0000 0.0000 0.0000  4 Sn 2.29
H2 0.7500 0.2500 0.5000  4 Sn 2.29

***

Entry from Alexandria via LeMat-Bulk: a relaxed structure of Sn2GeH2 (PBE).

Results
E_tot in eV/atom: -3.397
Total moment in μB/cell: 0.00
Calculated volume in Å³/f.u.: 96.6

Cell: 4.0923 4.0923 5.7691 Å, 90.00 90.00 90.00°
Closest atoms and distances in Å follow each position.
Element x y z (fractional)
Sn1 0.0000 0.0000 0.0000  2 Ge 2.88, 4 Sn 2.89
Sn2 0.5000 0.5000 0.0000  4 Sn 2.89
Ge1 0.0000 0.0000 0.5000  4 H 2.05
H1 0.0000 0.5000 0.5000  2 Ge 2.05
H2 0.5000 0.0000 0.5000  2 Ge 2.05

***

Entry from Alexandria via LeMat-Bulk: a relaxed structure of Sn3GeH (PBE).

Results
E_tot in eV/atom: -3.043
Total moment in μB/cell: 0.62
Calculated volume in Å³/f.u.: 159.1

Cell: 5.4191 5.4191 5.4191 Å, 90.00 90.00 90.00°
Closest atoms and distances in Å follow each position.
Element x y z (fractional)
Sn1 0.0000 0.0000 0.5000  2 Ge 2.71
Sn2 0.0000 0.5000 0.0000  2 Ge 2.71
Sn3 0.5000 0.0000 0.0000  2 Ge 2.71
Ge1 0.0000 0.0000 0.0000  6 Sn 2.71
H1 0.5000 0.5000 0.5000  12 Sn 3.83

***

Entry from Alexandria via LeMat-Bulk: a relaxed structure of Ti4SnGeH (PBE).

Results
E_tot in eV/atom: -6.685
Total moment in μB/cell: 0.00
Calculated volume in Å³/f.u.: 108.1

Cell: 7.8620 7.8620 5.4239 Å, 90.00 90.00 139.85°
Closest atoms and distances in Å follow each position.
Element x y z (fractional)
Ti1 0.0000 0.5000 0.0000  2 H 1.99
Ti2 0.0000 0.5000 0.5000  2 H 1.99
Ti3 0.0675 0.9325 0.7500  3 Ge 2.68-2.80, 2 Sn 2.76
Ti4 0.4215 0.5785 0.7500  1 H 1.99
Ti5 0.5000 0.0000 0.0000  2 H 1.99
Ti6 0.5000 0.0000 0.5000  2 H 1.99
Ti7 0.5785 0.4215 0.2500  1 H 1.99
Ti8 0.9325 0.0675 0.2500  3 Ge 2.68-2.80, 2 Sn 2.76
Sn1 0.3918 0.6082 0.2500  9 Ti 2.75-2.84
Sn2 0.6082 0.3918 0.7500  9 Ti 2.75-2.84
Ge1 0.1137 0.8863 0.2500  9 Ti 2.68-2.80
Ge2 0.8863 0.1137 0.7500  9 Ti 2.68-2.80
H1 0.2871 0.7129 0.7500  5 Ti 1.99
H2 0.7129 0.2871 0.2500  5 Ti 1.99

***

Entry from Alexandria via LeMat-Bulk: a relaxed structure of TlSnGeH2 (PBE).

Results
E_tot in eV/atom: -3.036
Total moment in μB/cell: 0.00
Calculated volume in Å³/f.u.: 103.1

Cell: 3.9624 3.9624 6.5649 Å, 90.00 90.00 90.00°
Closest atoms and distances in Å follow each position.
Element x y z (fractional)
Tl1 0.0000 0.0000 0.0000  4 H 1.98
Sn1 0.0000 0.0000 0.5000  4 Ge 2.80
Ge1 0.5000 0.5000 0.5000  4 Sn 2.80
H1 0.0000 0.5000 0.0000  2 Tl 1.98
H2 0.5000 0.0000 0.0000  2 Tl 1.98